Record 1
## LaGe6S8 (PBE)

Data for a relaxed structure of LaGe6S8.

Summary:
- SG: R-3
- Theoretical density: 3.91 g/cm3
- Final energy: -4.839 eV/atom

Cell: 7.075 7.075 7.075 Å, 87.70 87.70 87.70°
Fractional coordinates of all 15 atoms:
La1 0.000 0.000 0.000
Ge1 0.209 0.597 0.345
Ge2 0.345 0.209 0.597
Ge3 0.403 0.655 0.791
Ge4 0.597 0.345 0.209
Ge5 0.655 0.791 0.403
Ge6 0.791 0.403 0.655
S1 0.094 0.361 0.786
S2 0.214 0.906 0.639
S3 0.256 0.256 0.256
S4 0.361 0.786 0.094
S5 0.639 0.214 0.906
S6 0.744 0.744 0.744
S7 0.786 0.094 0.361
S8 0.906 0.639 0.214



Record 2
## Ba2NaLiMg (PBE)

Data for a relaxed structure of Ba2NaLiMg.

Summary:
- DFT formation energy: 0.158 eV/atom
- SG: P4/mmm
- Theoretical density: 2.37 g/cm3

Cell: 6.532 6.532 5.399 Å, 90.00 90.00 90.00°
Fractional coordinates of all 5 atoms:
Ba1 0.000 0.500 0.000
Ba2 0.500 0.000 0.000
Na1 0.000 0.000 0.500
Li1 0.500 0.500 0.000
Mg1 0.500 0.500 0.500



Record 3
## Er3Tl (PBE)

Data for a relaxed structure of Er3Tl.

Summary:
- DFT formation energy: -0.142 eV/atom
- SG: Pmmn
- Theoretical density: 10.44 g/cm3

Cell: 5.438 6.602 6.259 Å, 90.00 90.00 90.00°
Fractional coordinates of all 8 atoms:
Er1 0.250 0.005 0.144
Er2 0.250 0.250 0.630
Er3 0.250 0.495 0.144
Er4 0.750 0.505 0.856
Er5 0.750 0.750 0.370
Er6 0.750 0.995 0.856
Tl1 0.250 0.750 0.658
Tl2 0.750 0.250 0.342